Record 1
{
  "formula": "Li3HRh",
  "functional": "PBE-GGA",
  "state": "relaxed",
  "lattice": [[4.775, 0.000, 0.000], [0.000, 4.775, 0.000], [0.000, 0.000, 4.775]],
  "species": ["H", "Rh", "Li", "Li", "Li"],
  "frac_coords": [[0.500, 0.500, 0.500], [0.000, 0.000, 0.000], [0.000, 0.500, 0.000], [0.000, 0.000, 0.500], [0.500, 0.000, 0.000]],
  "final_energy_ev_per_fu": -13.1
}


Record 2
{
  "formula": "La2VGe",
  "functional": "PBE-GGA",
  "state": "relaxed",
  "lattice": [[-4.286, -2.751, 6.450], [6.949, -2.681, 3.474], [1.682, -0.007, 6.351]],
  "species": ["Ge", "Ge", "La", "La", "La", "La", "V", "V"],
  "frac_coords": [[0.000, 0.000, 0.000], [0.750, 0.250, 0.500], [0.609, 0.125, 0.250], [0.141, 0.625, 0.250], [0.375, 0.391, 0.750], [0.875, 0.859, 0.750], [0.500, 0.500, 0.000], [0.250, 0.750, 0.500]],
  "delta_e_f_mev_per_atom": 262
}


Record 3
{
  "formula": "BeCr2Ir",
  "functional": "PBE-GGA",
  "state": "relaxed",
  "lattice": [[-0.860, 2.449, -0.111], [-0.304, -1.054, 2.355], [6.945, 2.531, 2.028]],
  "species": ["Cr", "Cr", "Ir", "Be"],
  "frac_coords": [[0.000, 0.000, 0.996], [0.500, 0.500, 0.233], [0.000, 0.000, 0.517], [0.500, 0.500, 0.754]],
  "delta_e_f_mev_per_atom": 85
}


Record 4
{
  "formula": "LiGePbSe3",
  "functional": "PBE-GGA",
  "state": "relaxed",
  "lattice": [[-1.703, -1.171, 3.300], [6.934, -4.304, 2.051], [1.252, 8.256, 3.576]],
  "species": ["Li", "Li", "Ge", "Ge", "Pb", "Pb", "Se", "Se", "Se", "Se", "Se", "Se"],
  "frac_coords": [[0.250, 0.083, 0.600], [0.750, 0.917, 0.400], [0.250, 0.675, 0.130], [0.750, 0.325, 0.870], [0.750, 0.794, 0.733], [0.250, 0.206, 0.267], [0.250, 0.765, 0.479], [0.750, 0.888, 0.118], [0.750, 0.454, 0.161], [0.750, 0.235, 0.521], [0.250, 0.546, 0.839], [0.250, 0.112, 0.882]],
  "e_form_raw_ev_per_atom": -0.488
}


Record 5
{
  "formula": "Rb2Hf3TlO8",
  "functional": "PBE-GGA",
  "state": "relaxed",
  "lattice": [[-0.116, -1.760, -6.292], [3.466, -5.160, -2.014], [-4.257, -6.402, -1.524]],
  "species": ["Rb", "Rb", "Hf", "Hf", "Hf", "Tl", "O", "O", "O", "O", "O", "O", "O", "O"],
  "frac_coords": [[0.132, 0.132, 0.604], [0.497, 0.497, 0.510], [0.496, 0.006, 0.002], [0.006, 0.496, 0.002], [0.496, 0.496, 0.002], [0.903, 0.903, 0.290], [0.277, 0.277, 0.168], [0.713, 0.713, 0.861], [0.233, 0.233, 0.857], [0.678, 0.233, 0.857], [0.233, 0.678, 0.857], [0.758, 0.313, 0.172], [0.313, 0.758, 0.172], [0.758, 0.758, 0.172]],
  "e_form_raw_ev_per_atom": -2.619
}


Record 6
{
  "formula": "Sc2AlGa3",
  "functional": "PBE-GGA",
  "state": "relaxed",
  "lattice": [[5.174, -0.601, -1.589], [-1.475, 4.996, -1.589], [0.504, 0.599, 8.196]],
  "species": ["Sc", "Sc", "Sc", "Sc", "Al", "Al", "Ga", "Ga", "Ga", "Ga", "Ga", "Ga"],
  "frac_coords": [[0.250, 0.750, 0.500], [0.753, 0.753, 0.000], [0.750, 0.250, 0.500], [0.247, 0.247, 0.000], [0.667, 0.667, 0.333], [0.333, 0.333, 0.667], [0.334, 0.833, 0.166], [0.167, 0.666, 0.834], [0.666, 0.167, 0.834], [0.833, 0.334, 0.166], [0.167, 0.167, 0.333], [0.833, 0.833, 0.667]],
  "delta_e_f_mev_per_atom": -536
}


Record 7
{
  "formula": "LiBeF3",
  "functional": "PBE-GGA",
  "state": "relaxed",
  "lattice": [[4.997, 0.273, 1.015], [1.223, 6.374, 0.417], [0.339, -0.037, 6.495]],
  "species": ["Li", "Li", "Li", "Li", "Be", "Be", "Be", "Be", "F", "F", "F", "F", "F", "F", "F", "F", "F", "F", "F", "F"],
  "frac_coords": [[0.250, 0.894, 0.106], [0.750, 0.106, 0.894], [0.250, 0.237, 0.763], [0.750, 0.763, 0.237], [0.760, 0.615, 0.788], [0.740, 0.212, 0.385], [0.240, 0.385, 0.212], [0.260, 0.788, 0.615], [0.650, 0.784, 0.967], [0.850, 0.033, 0.216], [0.350, 0.216, 0.033], [0.150, 0.967, 0.784], [0.864, 0.385, 0.864], [0.636, 0.136, 0.615], [0.136, 0.615, 0.136], [0.364, 0.864, 0.385], [0.516, 0.623, 0.675], [0.984, 0.325, 0.377], [0.484, 0.377, 0.325], [0.016, 0.675, 0.623]],
  "e_form_raw_ev_per_atom": -3.156
}


Record 8
{
  "formula": "Rh2Au2O",
  "functional": "PBE-GGA",
  "state": "relaxed",
  "lattice": [[6.104, 0.000, 0.000], [0.000, 6.104, 0.000], [0.000, 0.000, 4.340]],
  "species": ["Rh", "Rh", "Rh", "Rh", "Au", "Au", "Au", "Au", "O", "O"],
  "frac_coords": [[0.148, 0.648, 0.500], [0.648, 0.852, 0.500], [0.852, 0.352, 0.500], [0.352, 0.148, 0.500], [0.335, 0.835, 0.000], [0.835, 0.665, 0.000], [0.665, 0.165, 0.000], [0.165, 0.335, 0.000], [0.000, 0.000, 0.000], [0.500, 0.500, 0.000]],
  "e_form_raw_ev_per_atom": 0.720
}


Record 9
{
  "formula": "LaMn2Tc",
  "functional": "PBE-GGA",
  "state": "relaxed",
  "lattice": [[-4.081, 0.485, 2.359], [0.193, -4.519, -1.412], [1.553, -0.826, 2.857]],
  "species": ["La", "Mn", "Mn", "Tc"],
  "frac_coords": [[0.000, 0.500, 0.500], [0.000, 0.000, 0.000], [0.500, 0.500, 0.000], [0.500, 0.000, 0.500]],
  "delta_e_f_mev_per_atom": 537
}


Record 10
{
  "formula": "BaH3Pd",
  "functional": "PBE-GGA",
  "state": "relaxed",
  "lattice": [[-2.924, -4.911, 1.070], [2.783, -0.551, 5.076], [-2.795, 2.047, 1.755]],
  "species": ["H", "H", "H", "H", "H", "H", "Ba", "Ba", "Pd", "Pd"],
  "frac_coords": [[0.547, 0.336, 0.705], [0.976, 0.908, 0.705], [0.475, 0.835, 0.705], [0.261, 0.621, 0.205], [0.762, 0.122, 0.205], [0.047, 0.407, 0.705], [0.262, 0.121, 0.205], [0.761, 0.622, 0.205], [0.261, 0.621, 0.705], [0.762, 0.122, 0.705]],
  "final_energy_ev_per_fu": -19.6
}


Record 11
{
  "formula": "AcSn6Au6",
  "functional": "PBE-GGA",
  "state": "relaxed",
  "lattice": [[6.457, -0.007, 0.000], [-3.234, 5.589, 0.000], [0.000, 0.000, 9.018]],
  "species": ["Ac", "Sn", "Sn", "Sn", "Sn", "Sn", "Sn", "Au", "Au", "Au", "Au", "Au", "Au"],
  "frac_coords": [[0.000, 0.000, 0.000], [0.000, 0.500, 0.743], [0.500, 0.000, 0.743], [0.500, 0.500, 0.743], [0.500, 0.000, 0.257], [0.000, 0.500, 0.257], [0.500, 0.500, 0.257], [0.000, 0.000, 0.664], [0.000, 0.000, 0.336], [0.333, 0.667, 0.000], [0.667, 0.333, 0.000], [0.333, 0.667, 0.500], [0.667, 0.333, 0.500]],
  "delta_e_f_mev_per_atom": -151
}


Record 12
{
  "formula": "ZrBiTeH",
  "functional": "PBE-GGA",
  "state": "relaxed",
  "lattice": [[3.570, -0.012, -0.006], [-1.775, 3.097, 0.006], [-1.771, -1.034, 8.319]],
  "species": ["Zr", "Bi", "Te", "H"],
  "frac_coords": [[0.855, 0.292, 0.148], [0.980, 0.854, 0.835], [0.352, 0.041, 0.393], [0.504, 0.617, 0.121]],
  "final_energy_ev_per_fu": -21.0
}


Record 13
{
  "formula": "Ce2ThMg2Tl2",
  "functional": "PBE-GGA",
  "state": "relaxed",
  "lattice": [[-1.200, -4.064, -2.209], [3.720, 3.237, -2.807], [4.901, -4.072, 4.830]],
  "species": ["Ce", "Ce", "Th", "Mg", "Mg", "Tl", "Tl"],
  "frac_coords": [[0.112, 0.224, 0.438], [0.888, 0.776, 0.562], [0.000, 0.000, 0.000], [0.612, 0.225, 0.750], [0.388, 0.775, 0.250], [0.701, 0.402, 0.175], [0.299, 0.598, 0.825]],
  "delta_e_f_mev_per_atom": -44
}


Record 14
{
  "formula": "CdIr2Ru",
  "functional": "PBE-GGA",
  "state": "relaxed",
  "lattice": [[-4.252, -0.911, -2.160], [0.298, -4.119, -2.555], [1.151, 1.067, 4.595]],
  "species": ["Cd", "Ir", "Ir", "Ru"],
  "frac_coords": [[0.750, 0.250, 0.500], [0.000, 0.000, 0.000], [0.250, 0.750, 0.500], [0.500, 0.500, 0.000]],
  "delta_e_f_mev_per_atom": 302
}


Record 15
{
  "formula": "Zn2MoCl",
  "functional": "PBE-GGA",
  "state": "relaxed",
  "lattice": [[4.579, 0.000, 0.000], [2.289, 3.965, 0.000], [2.289, 1.322, 3.738]],
  "species": ["Cl", "Mo", "Zn", "Zn"],
  "frac_coords": [[0.500, 0.500, 0.500], [0.750, 0.750, 0.750], [0.000, 0.000, 0.000], [0.250, 0.250, 0.250]],
  "e_form_raw_ev_per_atom": 0.646
}


Record 16
{
  "formula": "Pm2PrRuN4",
  "functional": "PBE-GGA",
  "state": "relaxed",
  "lattice": [[-2.714, 2.162, 0.521], [-1.160, -5.115, 3.376], [5.687, 4.886, 9.357]],
  "species": ["Pm", "Pm", "Pm", "Pm", "Pr", "Pr", "Ru", "Ru", "N", "N", "N", "N", "N", "N", "N", "N"],
  "frac_coords": [[0.368, 0.737, 0.543], [0.632, 0.263, 0.043], [0.632, 0.263, 0.457], [0.368, 0.737, 0.957], [0.119, 0.238, 0.750], [0.881, 0.762, 0.250], [0.852, 0.705, 0.750], [0.148, 0.295, 0.250], [0.270, 0.541, 0.133], [0.730, 0.459, 0.633], [0.730, 0.459, 0.867], [0.270, 0.541, 0.367], [0.000, 0.000, 0.500], [0.000, 0.000, 0.000], [0.433, 0.866, 0.750], [0.567, 0.134, 0.250]],
  "e_form_raw_ev_per_atom": -0.876
}


Record 17
{
  "formula": "BaLa2Sb",
  "functional": "PBE-GGA",
  "state": "relaxed",
  "lattice": [[-2.036, 0.218, -3.731], [-3.360, -1.967, 1.719], [-3.184, 7.331, 2.165]],
  "species": ["Ba", "La", "La", "Sb"],
  "frac_coords": [[0.500, 0.500, 0.750], [0.000, 0.000, 0.062], [0.000, 0.000, 0.438], [0.500, 0.500, 0.250]],
  "e_form_raw_ev_per_atom": -0.465
}


Record 18
{
  "formula": "BeCoPd",
  "functional": "PBE-GGA",
  "state": "relaxed",
  "lattice": [[3.316, 0.000, 0.000], [0.000, 3.316, 0.000], [0.000, 0.000, 6.225]],
  "species": ["Pd", "Pd", "Be", "Be", "Co", "Co"],
  "frac_coords": [[0.000, 0.500, 0.854], [0.500, 0.000, 0.146], [0.000, 0.500, 0.232], [0.500, 0.000, 0.768], [0.500, 0.500, 0.500], [0.000, 0.000, 0.500]],
  "delta_e_f_mev_per_atom": -231
}


Record 19
{
  "formula": "V4Tc3Ru2",
  "functional": "PBE-GGA",
  "state": "relaxed",
  "lattice": [[-1.674, -3.937, -0.124], [2.333, -3.273, -1.473], [2.675, -1.364, 7.273]],
  "species": ["V", "V", "V", "V", "Tc", "Tc", "Tc", "Ru", "Ru"],
  "frac_coords": [[0.667, 0.667, 0.111], [0.000, 0.000, 0.661], [0.000, 0.000, 0.339], [0.333, 0.333, 0.889], [0.333, 0.333, 0.571], [0.000, 0.000, 0.000], [0.667, 0.667, 0.429], [0.333, 0.333, 0.216], [0.667, 0.667, 0.784]],
  "delta_e_f_mev_per_atom": -241
}


Record 20
{
  "formula": "HfVP2S",
  "functional": "PBE-GGA",
  "state": "relaxed",
  "lattice": [[4.952, 0.000, 0.000], [0.000, 4.952, 0.000], [0.000, 0.000, 4.840]],
  "species": ["P", "P", "S", "Hf", "V"],
  "frac_coords": [[0.000, 0.500, 0.000], [0.500, 0.000, 0.000], [0.000, 0.000, 0.500], [0.000, 0.000, 0.000], [0.500, 0.500, 0.500]],
  "e_form_raw_ev_per_atom": 0.365
}


Record 21
{
  "formula": "V2Ni2Sn",
  "functional": "PBE-GGA",
  "state": "relaxed",
  "lattice": [[-0.260, -2.706, -2.666], [3.765, 0.174, -0.543], [2.440, -4.887, 2.003]],
  "species": ["Ni", "Ni", "Sn", "V", "V"],
  "frac_coords": [[0.393, 0.393, 0.215], [0.607, 0.607, 0.785], [0.000, 0.000, 0.000], [0.750, 0.250, 0.500], [0.250, 0.750, 0.500]],
  "delta_e_f_mev_per_atom": 103
}


Record 22
{
  "formula": "Y2InTe",
  "functional": "PBE-GGA",
  "state": "relaxed",
  "lattice": [[4.298, 0.000, 0.000], [0.000, 4.433, -0.787], [0.000, -0.134, 12.120]],
  "species": ["Y", "Y", "Y", "Y", "In", "In", "Te", "Te"],
  "frac_coords": [[0.750, 0.675, 0.349], [0.250, 0.325, 0.651], [0.750, 0.935, 0.870], [0.250, 0.065, 0.130], [0.250, 0.457, 0.914], [0.750, 0.543, 0.086], [0.250, 0.194, 0.387], [0.750, 0.806, 0.613]],
  "e_form_raw_ev_per_atom": -0.948
}


Record 23
{
  "formula": "MnIn2PH",
  "functional": "PBE-GGA",
  "state": "relaxed",
  "lattice": [[-3.719, -2.850, -0.325], [1.036, -0.994, -3.146], [2.500, -3.481, 1.923]],
  "species": ["P", "Mn", "H", "In", "In"],
  "frac_coords": [[0.000, 0.500, 0.000], [0.500, 0.500, 0.500], [0.000, 0.000, 0.000], [0.000, 0.000, 0.500], [0.500, 0.000, 0.000]],
  "final_energy_ev_per_fu": -20.0
}


Record 24
{
  "formula": "SbPS2Cl",
  "functional": "PBE-GGA",
  "state": "relaxed",
  "lattice": [[4.795, 0.000, 0.000], [0.000, 4.795, 0.000], [0.000, 0.000, 4.571]],
  "species": ["Sb", "S", "S", "P", "Cl"],
  "frac_coords": [[0.500, 0.500, 0.500], [0.000, 0.500, 0.000], [0.500, 0.000, 0.000], [0.000, 0.000, 0.500], [0.000, 0.000, 0.000]],
  "e_form_raw_ev_per_atom": 1.033
}


Record 25
{
  "formula": "CrHgRu2",
  "functional": "PBE-GGA",
  "state": "relaxed",
  "lattice": [[-2.554, 1.624, 0.865], [-0.157, -1.667, 2.666], [3.678, 4.253, 2.877]],
  "species": ["Cr", "Hg", "Ru", "Ru"],
  "frac_coords": [[0.000, 0.000, 0.442], [0.500, 0.500, 0.743], [0.000, 0.000, 0.034], [0.500, 0.500, 0.281]],
  "delta_e_f_mev_per_atom": 528
}